Entry from the Alexandria database: K2LaBe at its PBEsol-relaxed geometry (meta-GGA SCAN).

Lattice parameters (Å, degrees): 3.740 5.473 7.476 111.04 103.87 91.63
Atoms (fractional coordinates):
1 La 0.500 0.000 0.000
2 Be 0.000 0.500 0.000
3 K 0.000 0.000 0.500
4 K 0.500 0.500 0.500

As for the calculated total energy: -61.07 eV/cell. The formation energy is 762 meV per atom.


Entry from the Alexandria database: YAgIr2 at its PBEsol-relaxed geometry (meta-GGA SCAN).

Lattice parameters (Å, degrees): 2.986 4.880 5.465 116.19 105.85 90.00
Atoms (fractional coordinates):
1 Ag 0.737 0.177 0.474
2 Ir 0.986 0.064 0.972
3 Ir 0.268 0.689 0.537
4 Y 0.509 0.570 0.017

As for the calculated total energy: -202.18 eV/cell. The formation energy is -194 meV per atom. The distance to the lowest polymorph of the same formula is 0.0 meV per atom.


Entry from the Alexandria database: Ho2ZnAg at its PBEsol-relaxed geometry (meta-GGA SCAN).

Lattice parameters (Å, degrees): 4.981 4.981 4.981 60.00 60.00 60.00
Atoms (fractional coordinates):
1 Ho 0.250 0.250 0.250
2 Ho 0.750 0.750 0.750
3 Zn 0.000 0.000 0.000
4 Ag 0.500 0.500 0.500

As for the calculated total energy: -144.49 eV/cell. The formation energy is -409 meV per atom.


Entry from the Alexandria database: TaZnTc at its PBEsol-relaxed geometry (meta-GGA SCAN).

Lattice parameters (Å, degrees): 2.730 2.730 6.665 98.02 98.02 108.60
Atoms (fractional coordinates):
1 Zn 0.671 0.671 0.341
2 Ta 0.997 0.997 0.994
3 Tc 0.333 0.333 0.665

As for the calculated total energy: -115.18 eV/cell. The formation energy is -7 meV per atom.


Entry from the Alexandria database: KNbMo2As at its PBEsol-relaxed geometry (meta-GGA SCAN).

Lattice parameters (Å, degrees): 4.728 4.728 4.887 90.00 90.00 90.00
Atoms (fractional coordinates):
1 K 0.500 0.500 0.500
2 Mo 0.000 0.500 0.000
3 Mo 0.500 0.000 0.000
4 Nb 0.000 0.000 0.500
5 As 0.000 0.000 0.000

As for the calculated total energy: -124.82 eV/cell. The formation energy is 1321 meV per atom.


Entry from the Alexandria database: SrHfGa2Pd at its PBEsol-relaxed geometry (meta-GGA SCAN).

Lattice parameters (Å, degrees): 4.831 4.831 5.085 90.00 90.00 90.00
Atoms (fractional coordinates):
1 Hf 0.000 0.000 0.500
2 Ga 0.500 0.000 0.000
3 Ga 0.000 0.500 0.000
4 Sr 0.500 0.500 0.500
5 Pd 0.000 0.000 0.000

As for the calculated total energy: -150.53 eV/cell. The formation energy is -22 meV per atom.


What is the calculated total energy in the second record? -202.18 eV/cell


Which value of calculated total energy does entry 4 give? -115.18 eV/cell


What is the calculated total energy in the second record? -202.18 eV/cell


Which value of calculated total energy does entry 2 give? -202.18 eV/cell